Entry a
This record from the Alexandria database describes a relaxed TaP3Os crystal. The functional is PBE.

a b c (Å): 4.5638 4.5638 4.5638
angles (deg): 90.00 90.00 90.00
Last column: nearest neighbours and their distance in Å.
Sites, in units of the cell vectors:
Ta (0.0000, 0.0000, 0.0000)  12 P 3.23
P (0.0000, 0.5000, 0.5000)  2 Os 2.28
P (0.5000, 0.0000, 0.5000)  2 Os 2.28
P (0.5000, 0.5000, 0.0000)  2 Os 2.28
Os (0.5000, 0.5000, 0.5000)  6 P 2.28

## Properties
Space group: No. 221
Calculated volume, Å³/cell: 95


Entry b
This record from the Alexandria database describes a relaxed TaP3Os crystal. The functional is PBE.

a b c (Å): 4.7293 4.7293 4.7293
angles (deg): 90.00 90.00 90.00
Last column: nearest neighbours and their distance in Å.
Sites, in units of the cell vectors:
Ta (0.0000, 0.0000, 0.0000)  6 P 2.36
P (0.0000, 0.0000, 0.5000)  2 Ta 2.36
P (0.0000, 0.5000, 0.0000)  2 Ta 2.36
P (0.5000, 0.0000, 0.0000)  2 Ta 2.36
Os (0.5000, 0.5000, 0.5000)  12 P 3.34

## Properties
Space group: No. 221
Calculated volume, Å³/cell: 106


Among the structures above, stability is smallest for entry b.